[1]
Ag2H3Cl, optimized geometry, DFT PBE; crystal system = trigonal
1.0
-2.855 -0.728 2.212
3.430 -0.044 1.344
-0.458 5.935 1.361
H Ag Cl
3 2 1
direct
0.333 0.667 0.139
0.000 0.000 0.000
0.667 0.333 0.861
0.333 0.667 0.836
0.667 0.333 0.164
0.000 0.000 0.500

---

[2]
NdAgPbS3, optimized geometry, DFT PBE; crystal system = monoclinic; E above lowest polymorph = 4.0 meV per atom
1.0
8.916 -2.016 0.000
8.916 2.016 0.000
-2.037 0.000 8.162
Nd S Pb Ag
2 6 2 2
direct
0.836 0.836 0.909
0.164 0.164 0.091
0.328 0.328 0.145
0.672 0.672 0.855
0.500 0.500 0.500
0.000 0.000 0.000
0.679 0.679 0.331
0.321 0.321 0.669
0.131 0.131 0.573
0.869 0.869 0.427
0.524 0.524 0.211
0.476 0.476 0.789

---

[3]
RbDyTmTe3, optimized geometry, DFT PBE; crystal system = orthorhombic; E above lowest polymorph = 24.6 meV per atom
1.0
-4.764 6.754 2.907
1.999 -5.546 -6.482
-8.219 -7.450 3.839
Te Rb Tm Dy
6 2 2 2
direct
0.571 0.429 0.750
0.123 0.877 0.462
0.877 0.123 0.538
0.123 0.877 0.038
0.429 0.571 0.250
0.877 0.123 0.962
0.245 0.755 0.750
0.755 0.245 0.250
0.500 0.500 0.000
0.500 0.500 0.500
0.966 0.034 0.750
0.034 0.966 0.250

---

Computed E (eV/cell) in order:
-14.912; -59.586; -53.046